Computed, not measured: V2GaHCl after structural relaxation at the PBE-GGA level of DFT.

POSCAR file:
```
V2GaHCl
1.0
5.002 0.000 0.000
0.000 5.002 0.000
0.000 0.000 3.390
V Ga H Cl
2 1 1 1
direct
0.000 0.500 0.000
0.500 0.000 0.000
0.000 0.000 0.000
0.000 0.000 0.500
0.500 0.500 0.500
```

Summary:
* electronic total energy: -0.33172 Ry/atom
* D(E_F): 1.27 states/eV/atom
* SG: P4/mmm (123)